# 1
! BaAcVO4 PBE+U relaxed; values from VASP
&SYSTEM
  ibrav = 0, nat = 14, ntyp = 4
/
ATOMIC_SPECIES
Ac 227.00 Ac.upf
Ba 137.33 Ba.upf
V 50.94 V.upf
O 16.00 O.upf
ATOMIC_POSITIONS crystal
Ac 0.800 0.750 0.454
Ac 0.200 0.250 0.546
Ba 0.706 0.750 0.926
Ba 0.294 0.250 0.074
V 0.262 0.750 0.315
V 0.738 0.250 0.685
O 0.543 0.250 0.429
O 0.041 0.982 0.285
O 0.959 0.018 0.715
O 0.041 0.518 0.285
O 0.457 0.750 0.571
O 0.544 0.250 0.842
O 0.959 0.482 0.715
O 0.456 0.750 0.158
CELL_PARAMETERS angstrom
6.287 0.000 0.073
0.000 6.064 0.000
-2.377 0.000 6.995
! Total DFT energy (no corrections), eV per atom: -7.326
! Theoretical density, g/cm3: 5.95
! Volume, Å³/f.u.: 134



# 2
! BaAcWO6 PBE+U relaxed; values from VASP
&SYSTEM
  ibrav = 0, nat = 9, ntyp = 4
/
ATOMIC_SPECIES
O 16.00 O.upf
W 183.84 W.upf
Ac 227.00 Ac.upf
Ba 137.33 Ba.upf
ATOMIC_POSITIONS crystal
O 0.600 0.338 0.702
O 0.338 0.062 0.702
O 0.062 0.600 0.702
O 0.600 0.062 0.298
O 0.338 0.600 0.298
O 0.062 0.338 0.298
W 0.333 0.333 0.500
Ac 0.667 0.667 0.500
Ba 0.000 0.000 0.000
CELL_PARAMETERS angstrom
6.024 -0.001 0.000
3.012 5.217 0.000
0.000 0.000 5.455
! Total DFT energy (no corrections), eV per atom: -7.210
! Theoretical density, g/cm3: 6.24
! Volume, Å³/f.u.: 171